(1)
Material: NaAlZn4
Method: DFT, PBE
State: optimized geometry

## Properties
**Calculated total energy**: -1.63 eV per atom
**SG**: F-43m (216)
**Formation enthalpy at 0 K**: 66 meV per atom

Cell: 5.2605 5.2605 5.2605 Å, 60.00 60.00 60.00°
Sites, in units of the cell vectors:
Na: 0.0000 0.0000 0.0000
Zn: 0.6252 0.6252 0.1244
Zn: 0.6252 0.1244 0.6252
Zn: 0.6252 0.6252 0.6252
Zn: 0.1244 0.6252 0.6252
Al: 0.2500 0.2500 0.2500

(2)
Material: Ac3MgHg5
Method: DFT, PBE
State: optimized geometry

## Properties
**Calculated total energy**: -2.16 eV per atom
**SG**: P6_3/mcm (193)
**Formation enthalpy at 0 K**: -446 meV per atom

Cell: 6.6395 9.7144 9.7145 Å, 120.00 90.00 90.00°
Sites, in units of the cell vectors:
Ac: 0.7500 0.3710 0.3710
Ac: 0.7500 0.0000 0.6290
Ac: 0.7500 0.6290 0.0000
Ac: 0.2500 0.6290 0.6290
Ac: 0.2500 0.0000 0.3710
Ac: 0.2500 0.3710 0.0000
Mg: 0.0000 0.0000 0.0000
Mg: 0.5000 0.0000 0.0000
Hg: 0.0000 0.6667 0.3333
Hg: 0.5000 0.3333 0.6667
Hg: 0.0000 0.3333 0.6667
Hg: 0.5000 0.6667 0.3333
Hg: 0.7500 0.7208 0.7208
Hg: 0.7500 0.0000 0.2792
Hg: 0.7500 0.2792 0.0000
Hg: 0.2500 0.2792 0.2792
Hg: 0.2500 0.0000 0.7208
Hg: 0.2500 0.7208 0.0000

(3)
Material: CrCu2P
Method: DFT, PBE
State: optimized geometry

## Properties
**Calculated total energy**: -5.84 eV per atom
**SG**: Amm2 (38)
**Formation enthalpy at 0 K**: -30 meV per atom

Cell: 3.3943 2.8549 5.3575 Å, 74.50 90.00 90.00°
Last column: magnetic moment on the atom in μB.
Sites, in units of the cell vectors:
Cr: 0.5000 0.7113 0.7024  1.74
Cu: 0.0000 0.0569 0.0106  0.02
Cu: 0.5000 0.4436 0.2371  0.01
P: 0.0000 0.2881 0.5498  -0.08

(4)
Material: CaPa3Mn4N12
Method: DFT, PBE
State: optimized geometry

## Properties
**Formation energy (no corrections)**: -10.448 eV/f.u.
**Calculated total energy**: -8.88 eV per atom
**SG**: R32 (155)

Cell: 7.0731 7.0731 7.0731 Å, 104.68 104.68 104.68°
Last column: magnetic moment on the atom in μB.
Sites, in units of the cell vectors:
Ca: 0.0000 0.0000 0.0000  0.01
Pa: 0.5489 0.4511 0.0000  0.21
Pa: 0.4511 0.0000 0.5489  0.21
Pa: 0.0000 0.5489 0.4511  0.21
Mn: 0.9506 0.0494 0.5000  1.79
Mn: 0.0494 0.5000 0.9506  1.79
Mn: 0.5000 0.9506 0.0494  1.79
Mn: 0.5000 0.5000 0.5000  2.40
N: 0.5000 0.3442 0.6558  -0.04
N: 0.8920 0.5000 0.1080  -0.02
N: 0.1080 0.8920 0.5000  -0.02
N: 0.5000 0.1080 0.8920  -0.02
N: 0.3553 0.9685 0.2062  -0.07
N: 0.2062 0.3553 0.9685  -0.07
N: 0.9685 0.2062 0.3553  -0.07
N: 0.6447 0.7938 0.0315  -0.07
N: 0.0315 0.6447 0.7938  -0.07
N: 0.7938 0.0315 0.6447  -0.07
N: 0.6558 0.5000 0.3442  -0.04
N: 0.3442 0.6558 0.5000  -0.04

(5)
Material: CuGeMo3
Method: DFT, PBE
State: optimized geometry

## Properties
**Calculated total energy**: -6.68 eV per atom
**Polymorph energy (0 for the lowest one)**: 15 meV/atom
**SG**: Pm-3m (221)
**Formation enthalpy at 0 K**: 1565 meV per atom

Cell: 4.5916 4.5916 4.5916 Å, 90.00 90.00 90.00°
Sites, in units of the cell vectors:
Mo: 0.0000 0.5000 0.0000
Mo: 0.0000 0.0000 0.5000
Mo: 0.5000 0.0000 0.0000
Ge: 0.0000 0.0000 0.0000
Cu: 0.5000 0.5000 0.5000

(6)
Material: SrSeCl2
Method: DFT, PBE
State: optimized geometry

## Properties
**Formation energy (no corrections)**: -5.952 eV/f.u.
**Calculated total energy**: -3.70 eV per atom
**Polymorph energy (0 for the lowest one)**: 0 meV/atom
**SG**: C2/m (12)

Cell: 6.4804 6.4804 4.9712 Å, 86.29 86.29 37.75°
Sites, in units of the cell vectors:
Sr: 0.2500 0.2500 0.2500
Se: 0.7500 0.7500 0.7500
Cl: 0.9079 0.9079 0.0414
Cl: 0.5921 0.5921 0.4586

(7)
Material: ScFeMo2
Method: DFT, PBE
State: optimized geometry

## Properties
**Calculated total energy**: -9.05 eV per atom
**Polymorph energy (0 for the lowest one)**: 0 meV/atom
**SG**: P4mm (99)
**Formation enthalpy at 0 K**: 66 meV per atom

Cell: 3.1498 3.1498 6.3930 Å, 90.00 90.00 90.00°
Last column: magnetic moment on the atom in μB.
Sites, in units of the cell vectors:
Fe: 0.5000 0.5000 0.7721  1.46
Mo: 0.0000 0.0000 0.9940  -0.26
Mo: 0.5000 0.5000 0.2247  0.13
Sc: 0.0000 0.0000 0.5091  -0.16

(8)
Material: Li3SmPt3
Method: DFT, PBE
State: optimized geometry

## Properties
**Calculated total energy**: -4.13 eV per atom
**SG**: Pm-3n (223)
**Formation enthalpy at 0 K**: -49 meV per atom

Cell: 6.3938 6.3938 6.3938 Å, 90.00 90.00 90.00°
Sites, in units of the cell vectors:
Sm: 0.5000 0.5000 0.5000
Sm: 0.0000 0.0000 0.0000
Pt: 0.2500 0.0000 0.5000
Pt: 0.0000 0.5000 0.2500
Pt: 0.5000 0.7500 0.0000
Pt: 0.7500 0.0000 0.5000
Pt: 0.0000 0.5000 0.7500
Pt: 0.5000 0.2500 0.0000
Li: 0.0000 0.2500 0.5000
Li: 0.0000 0.7500 0.5000
Li: 0.5000 0.0000 0.7500
Li: 0.7500 0.5000 0.0000
Li: 0.5000 0.0000 0.2500
Li: 0.2500 0.5000 0.0000